# 1
Ta2AsIrI | GGA-PBE | optimized geometry

Output
uncorrected energy = -0.4672 Ry/atom
uncorrected formation energy = 1396.1 meV/atom
magnetization = 0.9 μB/f.u.

a b c (Å): 4.937 5.261 4.937
angles (deg): 90.00 90.00 90.00
Site moments in Bohr magnetons follow the coordinates.
Positions (direct):
I1 0.000 0.500 0.000  -0.02
As1 0.500 0.500 0.500  -0.08
Ir1 0.000 0.000 0.000  -0.02
Ta1 0.000 0.000 0.500  0.31
Ta2 0.500 0.000 0.000  0.40

# 2
Zr4IrRh3 | GGA-PBE | optimized geometry

Output
uncorrected energy = -0.6547 Ry/atom
magnetization = 0.0 μB/f.u.

a b c (Å): 4.656 4.656 7.424
angles (deg): 108.18 108.27 90.00
Positions (direct):
Ir1 0.500 0.000 0.000
Rh1 0.000 0.500 0.000
Rh2 0.753 0.253 0.505
Rh3 0.247 0.747 0.495
Zr1 0.375 0.375 0.751
Zr2 0.625 0.625 0.249
Zr3 0.125 0.125 0.249
Zr4 0.875 0.875 0.751

# 3
Ba3CrNi | GGA-PBE | optimized geometry

Output
uncorrected energy = -0.2782 Ry/atom
magnetization = 5.1 μB/f.u.

a b c (Å): 6.003 6.003 6.003
angles (deg): 90.00 90.00 90.00
Site moments in Bohr magnetons follow the coordinates.
Positions (direct):
Ni1 0.000 0.000 0.000  0.04
Ba1 0.000 0.500 0.000  -0.01
Ba2 0.000 0.000 0.500  0.00
Ba3 0.500 0.000 0.000  0.00
Cr1 0.500 0.500 0.500  4.17